[1]
# FeTcSb2 GGA-PBE optimized geometry
# * volume: 24.70 A^3/atom
# * ΔE to the lowest computed polymorph: 675 meV/atom
# * raw formation energy: 0.821 eV per atom
# * total magnetization: 0.01 μB per formula unit
# * crystal system: tetragonal
data_FeTcSb2
_chemical_formula_sum 'Fe2 Tc2 Sb4'
_cell_length_a 6.935
_cell_length_b 6.935
_cell_length_c 6.935
_cell_angle_alpha 128.73
_cell_angle_beta 128.73
_cell_angle_gamma 75.45
_symmetry_space_group_name_H-M 'P 1'
_symmetry_Int_Tables_number 1
loop_
_symmetry_equiv_pos_as_xyz
'x,y,z'
loop_
_atom_site_label
_atom_site_fract_x
_atom_site_fract_y
_atom_site_fract_z
Fe1 0.000 0.000 0.000
Fe2 0.750 0.250 0.500
Tc1 0.250 0.750 0.500
Tc2 0.500 0.500 0.000
Sb1 0.107 0.625 0.982
Sb2 0.375 0.357 0.482
Sb3 0.643 0.125 0.018
Sb4 0.875 0.893 0.518

***

[2]
# P3OsO GGA-PBE optimized geometry
# * volume: 18.73 A^3/atom
# * ΔE to the lowest computed polymorph: 333 meV/atom
# * raw formation energy: 1.031 eV per atom
# * total magnetization: 0.01 μB per formula unit
# * crystal system: cubic
data_P3OsO
_chemical_formula_sum 'P3 Os1 O1'
_cell_length_a 4.541
_cell_length_b 4.541
_cell_length_c 4.541
_cell_angle_alpha 90.00
_cell_angle_beta 90.00
_cell_angle_gamma 90.00
_symmetry_space_group_name_H-M 'P 1'
_symmetry_Int_Tables_number 1
loop_
_symmetry_equiv_pos_as_xyz
'x,y,z'
loop_
_atom_site_label
_atom_site_fract_x
_atom_site_fract_y
_atom_site_fract_z
P1 0.000 0.000 0.500
P2 0.000 0.500 0.000
P3 0.500 0.000 0.000
Os1 0.000 0.000 0.000
O1 0.500 0.500 0.500

***

[3]
# SnHgSb2I GGA-PBE optimized geometry
# * volume: 37.05 A^3/atom
# * ΔE to the lowest computed polymorph: 123 meV/atom
# * raw formation energy: 0.627 eV per atom
# * total magnetization: 0.31 μB per formula unit
# * crystal system: tetragonal
data_SnHgSb2I
_chemical_formula_sum 'Sn1 Hg1 Sb2 I1'
_cell_length_a 5.509
_cell_length_b 5.509
_cell_length_c 6.105
_cell_angle_alpha 90.00
_cell_angle_beta 90.00
_cell_angle_gamma 90.00
_symmetry_space_group_name_H-M 'P 1'
_symmetry_Int_Tables_number 1
loop_
_symmetry_equiv_pos_as_xyz
'x,y,z'
loop_
_atom_site_label
_atom_site_fract_x
_atom_site_fract_y
_atom_site_fract_z
Sn1 0.000 0.000 0.000
Hg1 0.500 0.500 0.500
Sb1 0.000 0.500 0.500
Sb2 0.500 0.000 0.500
I1 0.500 0.500 0.000

***

[4]
# La8Ga3PtBr4 GGA-PBE optimized geometry
# * volume: 30.82 A^3/atom
# * raw formation energy: -1.032 eV per atom
# * total magnetization: 0.00 μB per formula unit
# * crystal system: monoclinic
data_La8Ga3PtBr4
_chemical_formula_sum 'La8 Ga3 Pt1 Br4'
_cell_length_a 8.853
_cell_length_b 8.853
_cell_length_c 8.905
_cell_angle_alpha 119.96
_cell_angle_beta 119.96
_cell_angle_gamma 59.78
_symmetry_space_group_name_H-M 'P 1'
_symmetry_Int_Tables_number 1
loop_
_symmetry_equiv_pos_as_xyz
'x,y,z'
loop_
_atom_site_label
_atom_site_fract_x
_atom_site_fract_y
_atom_site_fract_z
La1 0.237 0.749 0.722
La2 0.238 0.238 0.724
La3 0.251 0.763 0.278
La4 0.254 0.254 0.263
La5 0.746 0.746 0.737
La6 0.749 0.237 0.722
La7 0.762 0.762 0.276
La8 0.763 0.251 0.278
Ga1 0.000 0.500 0.500
Ga2 0.500 0.000 0.500
Ga3 0.500 0.500 0.500
Pt1 0.000 0.000 0.500
Br1 0.000 0.000 0.000
Br2 0.000 0.500 0.000
Br3 0.500 0.000 0.000
Br4 0.500 0.500 0.000

***

[5]
# PmPr6Ho2Tm GGA-PBE optimized geometry
# * volume: 34.67 A^3/atom
# * total magnetization: 0.00 μB per formula unit
# * calculated formation energy: 11 kJ/mol of atoms
# * crystal system: monoclinic
data_PmPr6Ho2Tm
_chemical_formula_sum 'Pm2 Pr12 Ho4 Tm2'
_cell_length_a 9.007
_cell_length_b 9.007
_cell_length_c 9.698
_cell_angle_alpha 93.71
_cell_angle_beta 93.71
_cell_angle_gamma 117.34
_symmetry_space_group_name_H-M 'P 1'
_symmetry_Int_Tables_number 1
loop_
_symmetry_equiv_pos_as_xyz
'x,y,z'
loop_
_atom_site_label
_atom_site_fract_x
_atom_site_fract_y
_atom_site_fract_z
Pm1 0.028 0.972 0.750
Pm2 0.972 0.028 0.250
Pr1 0.005 0.563 0.689
Pr2 0.116 0.762 0.055
Pr3 0.238 0.884 0.445
Pr4 0.294 0.513 0.883
Pr5 0.437 0.995 0.811
Pr6 0.487 0.706 0.617
Pr7 0.513 0.294 0.383
Pr8 0.563 0.005 0.189
Pr9 0.706 0.487 0.117
Pr10 0.762 0.116 0.555
Pr11 0.884 0.238 0.945
Pr12 0.995 0.437 0.311
Ho1 0.203 0.299 0.548
Ho2 0.299 0.203 0.048
Ho3 0.701 0.797 0.952
Ho4 0.797 0.701 0.452
Tm1 0.413 0.587 0.250
Tm2 0.587 0.413 0.750

***

[6]
# FeNi3W GGA-PBE optimized geometry
# * volume: 14.62 A^3/atom
# * ΔE to the lowest computed polymorph: 1050 meV/atom
# * total magnetization: 6.28 μB per formula unit
# * calculated formation energy: 130 kJ/mol of atoms
# * crystal system: cubic
data_FeNi3W
_chemical_formula_sum 'Fe1 Ni3 W1'
_cell_length_a 4.181
_cell_length_b 4.181
_cell_length_c 4.181
_cell_angle_alpha 90.00
_cell_angle_beta 90.00
_cell_angle_gamma 90.00
_symmetry_space_group_name_H-M 'P 1'
_symmetry_Int_Tables_number 1
loop_
_symmetry_equiv_pos_as_xyz
'x,y,z'
loop_
_atom_site_label
_atom_site_fract_x
_atom_site_fract_y
_atom_site_fract_z
Fe1 0.000 0.000 0.000
Ni1 0.000 0.000 0.500
Ni2 0.000 0.500 0.000
Ni3 0.500 0.000 0.000
W1 0.500 0.500 0.500

***

[7]
# Hf2TeMo2 GGA-PBE optimized geometry
# * volume: 22.01 A^3/atom
# * ΔE to the lowest computed polymorph: 572 meV/atom
# * raw formation energy: 0.720 eV per atom
# * total magnetization: 0.00 μB per formula unit
# * crystal system: tetragonal
data_Hf2TeMo2
_chemical_formula_sum 'Hf2 Te1 Mo2'
_cell_length_a 6.625
_cell_length_b 6.625
_cell_length_c 6.625
_cell_angle_alpha 141.88
_cell_angle_beta 141.88
_cell_angle_gamma 55.02
_symmetry_space_group_name_H-M 'P 1'
_symmetry_Int_Tables_number 1
loop_
_symmetry_equiv_pos_as_xyz
'x,y,z'
loop_
_atom_site_label
_atom_site_fract_x
_atom_site_fract_y
_atom_site_fract_z
Hf1 0.250 0.750 0.500
Hf2 0.750 0.250 0.500
Te1 0.000 0.000 0.000
Mo1 0.400 0.400 0.000
Mo2 0.600 0.600 0.000

***

[8]
# NbNiB3 GGA-PBE optimized geometry
# * volume: 10.39 A^3/atom
# * total magnetization: 0.00 μB per formula unit
# * calculated formation energy: 73 kJ/mol of atoms
# * crystal system: cubic
data_NbNiB3
_chemical_formula_sum 'Nb1 Ni1 B3'
_cell_length_a 3.731
_cell_length_b 3.731
_cell_length_c 3.731
_cell_angle_alpha 90.00
_cell_angle_beta 90.00
_cell_angle_gamma 90.00
_symmetry_space_group_name_H-M 'P 1'
_symmetry_Int_Tables_number 1
loop_
_symmetry_equiv_pos_as_xyz
'x,y,z'
loop_
_atom_site_label
_atom_site_fract_x
_atom_site_fract_y
_atom_site_fract_z
Nb1 0.000 0.000 0.000
Ni1 0.500 0.500 0.500
B1 0.000 0.500 0.500
B2 0.500 0.000 0.500
B3 0.500 0.500 0.000

***

[9]
# TbGa3Rh GGA-PBE optimized geometry
# * volume: 18.85 A^3/atom
# * ΔE to the lowest computed polymorph: 29 meV/atom
# * total magnetization: 0.00 μB per formula unit
# * calculated formation energy: -67 kJ/mol of atoms
# * crystal system: orthorhombic
data_TbGa3Rh
_chemical_formula_sum 'Tb4 Ga12 Rh4'
_cell_length_a 8.325
_cell_length_b 4.233
_cell_length_c 10.697
_cell_angle_alpha 90.00
_cell_angle_beta 90.00
_cell_angle_gamma 90.00
_symmetry_space_group_name_H-M 'P 1'
_symmetry_Int_Tables_number 1
loop_
_symmetry_equiv_pos_as_xyz
'x,y,z'
loop_
_atom_site_label
_atom_site_fract_x
_atom_site_fract_y
_atom_site_fract_z
Tb1 0.203 0.250 0.020
Tb2 0.297 0.750 0.520
Tb3 0.703 0.250 0.480
Tb4 0.797 0.750 0.980
Ga1 0.058 0.250 0.590
Ga2 0.106 0.750 0.807
Ga3 0.147 0.750 0.215
Ga4 0.353 0.250 0.715
Ga5 0.394 0.250 0.307
Ga6 0.442 0.750 0.090
Ga7 0.558 0.250 0.910
Ga8 0.606 0.750 0.693
Ga9 0.647 0.750 0.285
Ga10 0.853 0.250 0.785
Ga11 0.894 0.250 0.193
Ga12 0.942 0.750 0.410
Rh1 0.105 0.250 0.353
Rh2 0.395 0.750 0.853
Rh3 0.605 0.250 0.147
Rh4 0.895 0.750 0.647

***

[10]
# TeH3Se GGA-PBE optimized geometry
# * volume: 11.80 A^3/atom
# * ΔE to the lowest computed polymorph: 71 meV/atom
# * total magnetization: 0.00 μB per formula unit
# * crystal system: cubic
data_TeH3Se
_chemical_formula_sum 'Te1 H3 Se1'
_cell_length_a 3.893
_cell_length_b 3.893
_cell_length_c 3.893
_cell_angle_alpha 90.00
_cell_angle_beta 90.00
_cell_angle_gamma 90.00
_symmetry_space_group_name_H-M 'P 1'
_symmetry_Int_Tables_number 1
loop_
_symmetry_equiv_pos_as_xyz
'x,y,z'
loop_
_atom_site_label
_atom_site_fract_x
_atom_site_fract_y
_atom_site_fract_z
Te1 0.000 0.000 0.000
H1 0.000 0.500 0.500
H2 0.500 0.000 0.500
H3 0.500 0.500 0.000
Se1 0.500 0.500 0.500

***

[11]
# BaSnF2 GGA-PBE optimized geometry
# * volume: 30.41 A^3/atom
# * ΔE to the lowest computed polymorph: 326 meV/atom
# * raw formation energy: -2.108 eV per atom
# * total magnetization: 0.00 μB per formula unit
# * crystal system: tetragonal
data_BaSnF2
_chemical_formula_sum 'Ba2 Sn2 F4'
_cell_length_a 7.345
_cell_length_b 7.345
_cell_length_c 7.345
_cell_angle_alpha 127.26
_cell_angle_beta 127.26
_cell_angle_gamma 77.82
_symmetry_space_group_name_H-M 'P 1'
_symmetry_Int_Tables_number 1
loop_
_symmetry_equiv_pos_as_xyz
'x,y,z'
loop_
_atom_site_label
_atom_site_fract_x
_atom_site_fract_y
_atom_site_fract_z
Ba1 0.000 0.000 0.000
Ba2 0.750 0.250 0.500
Sn1 0.250 0.750 0.500
Sn2 0.500 0.500 0.000
F1 0.059 0.625 0.934
F2 0.375 0.309 0.434
F3 0.691 0.125 0.066
F4 0.875 0.941 0.566

***

[12]
# KCa3In GGA-PBE optimized geometry
# * volume: 48.15 A^3/atom
# * ΔE to the lowest computed polymorph: 878 meV/atom
# * total magnetization: 0.00 μB per formula unit
# * calculated formation energy: 82 kJ/mol of atoms
# * crystal system: cubic
data_KCa3In
_chemical_formula_sum 'K1 Ca3 In1'
_cell_length_a 6.221
_cell_length_b 6.221
_cell_length_c 6.221
_cell_angle_alpha 90.00
_cell_angle_beta 90.00
_cell_angle_gamma 90.00
_symmetry_space_group_name_H-M 'P 1'
_symmetry_Int_Tables_number 1
loop_
_symmetry_equiv_pos_as_xyz
'x,y,z'
loop_
_atom_site_label
_atom_site_fract_x
_atom_site_fract_y
_atom_site_fract_z
K1 0.000 0.000 0.000
Ca1 0.000 0.000 0.500
Ca2 0.000 0.500 0.000
Ca3 0.500 0.000 0.000
In1 0.500 0.500 0.500